PuThGe3 GGA-PBE optimized geometry; energy of formation from the pure elements = -0.52 eV per atom; SG = Pnnm, No. 58
1.0
6.892 0.000 0.000
0.000 7.711 0.000
0.000 0.000 8.727
Pu Th Ge
4 4 12
Cartesian
1.485 1.090 0.000
1.961 4.946 4.364
4.932 2.765 4.364
5.407 6.621 0.000
1.514 1.105 4.364
1.932 4.960 0.000
4.960 2.750 0.000
5.378 6.606 4.364
0.000 3.855 2.238
0.000 3.855 6.489
0.754 6.673 2.185
0.754 6.673 6.542
2.692 2.818 2.179
2.692 2.818 6.549
3.446 0.000 2.125
3.446 0.000 6.602
4.200 4.893 2.179
4.200 4.893 6.549
6.138 1.037 2.185
6.138 1.037 6.542


Pu2ThGe GGA-PBE optimized geometry; energy relative to the lowest polymorph listed for this composition = 0.000 eV/atom; energy of formation from the pure elements = -0.27 eV per atom; SG = P4/mmm, No. 123
1.0
4.511 0.000 0.000
0.000 4.511 0.000
0.000 0.000 4.875
Pu Th Ge
2 1 1
Cartesian
0.000 2.256 0.000
2.256 0.000 0.000
0.000 0.000 2.438
2.256 2.256 2.438


Pu4ThGe15 GGA-PBE optimized geometry; energy of formation from the pure elements = -0.38 eV per atom; SG = P4/mmm, No. 123
1.0
4.294 0.000 0.000
0.000 4.294 0.000
0.000 0.000 21.374
Pu Th Ge
4 1 15
Cartesian
0.000 0.000 2.111
0.000 0.000 6.344
0.000 0.000 15.029
0.000 0.000 19.263
0.000 0.000 10.687
0.000 2.147 0.000
0.000 2.147 4.227
0.000 2.147 8.436
0.000 2.147 12.937
0.000 2.147 17.146
2.147 0.000 0.000
2.147 0.000 4.227
2.147 0.000 8.436
2.147 0.000 12.937
2.147 0.000 17.146
2.147 2.147 2.111
2.147 2.147 6.329
2.147 2.147 10.687
2.147 2.147 15.044
2.147 2.147 19.263


Pu4ThGe5 GGA-PBE optimized geometry; energy of formation from the pure elements = -0.44 eV per atom; SG = P4/mmm, No. 123
1.0
3.865 0.000 0.000
0.000 3.865 0.000
0.000 0.000 14.743
Pu Th Ge
4 1 5
Cartesian
0.000 0.000 1.506
0.000 0.000 4.246
0.000 0.000 10.497
0.000 0.000 13.237
0.000 0.000 7.371
1.933 1.933 0.000
1.933 1.933 2.917
1.933 1.933 5.692
1.933 1.933 9.051
1.933 1.933 11.826


Fermi-level density of states: 39.77 9.22 33.61 31.59 (states/eV per cell)